Material: DyNpTeSe2
Method: DFT, PBE
State: relaxed

Cell: 7.6858 7.6858 7.6858 Å, 145.45 145.45 49.66°
With the nearest neighbours (Å) after each atom.
Element x y z (fractional)
Dy 0.0000 0.0000 0.0000  4 Se 2.78
Np 0.2622 0.2622 0.0000  4 Se 2.86
Te 0.6383 0.6383 0.0000  4 Np 3.66, 4 Dy 3.76
Se 0.3857 0.8857 0.5000  2 Dy 2.78, 2 Np 2.86
Se 0.8857 0.3857 0.5000  2 Dy 2.78, 2 Np 2.86

Results
Magnetic moment   0.800 μB/atom
Total energy   -6.51 eV per atom
Uncorrected formation energy   -0.981 eV/atom
Crystal system   tetragonal